Material: KTe2Ir
Method: DFT, PBE
State: optimized geometry

Output
Raw formation energy = 339 meV/atom
Total energy = -59.537 eV/cell
DOS at the Fermi energy = 5.3 states/eV/f.u.

a b c (Å): 7.2503 7.2503 7.2503
angles (deg): 90.00 90.00 90.00
Space group Fm-3m (No. 225)
Symmetry-distinct sites (fractional):
K 0.0000 0.0000 0.0000 [4 per cell]
Te 0.2500 0.2500 0.2500 [8 per cell]
Ir 0.0000 0.0000 0.5000 [4 per cell]

Material: KTe2Ir
Method: DFT, PBE
State: optimized geometry

Output
Raw formation energy = 372 meV/atom
Total energy = -14.754 eV/cell
DOS at the Fermi energy = 3.7 states/eV/f.u.

a b c (Å): 4.9216 4.9216 3.9284
angles (deg): 90.00 90.00 90.00
Space group P4/mmm (No. 123)
Symmetry-distinct sites (fractional):
K 0.0000 0.0000 0.0000 [1 per cell]
Te 0.0000 0.5000 0.5000 [2 per cell]
Ir 0.5000 0.5000 0.0000 [1 per cell]

Material: KTeIr
Method: DFT, PBE
State: optimized geometry

Output
Raw formation energy = -101 meV/atom
Total energy = -13.402 eV/cell
DOS at the Fermi energy = 3.6 states/eV/f.u.

a b c (Å): 4.4157 4.4157 5.3861
angles (deg): 90.00 90.00 120.00
Space group P-6m2 (No. 187)
Symmetry-distinct sites (fractional):
K 0.0000 0.0000 0.0000 [1 per cell]
Te 0.6667 0.3333 0.5000 [1 per cell]
Ir 0.3333 0.6667 0.5000 [1 per cell]

Material: KTe2Ir
Method: DFT, PBE
State: optimized geometry

Output
Raw formation energy = 95 meV/atom
Total energy = -15.862 eV/cell
DOS at the Fermi energy = 3.3 states/eV/f.u.

a b c (Å): 3.4889 3.4889 8.5751
angles (deg): 90.00 90.00 90.00
Space group P4/mmm (No. 123)
Symmetry-distinct sites (fractional):
K 0.0000 0.0000 0.0000 [1 per cell]
Te 0.5000 0.5000 0.3149 [2 per cell]
Ir 0.0000 0.0000 0.5000 [1 per cell]

Material: KTeIr
Method: DFT, PBE
State: optimized geometry

Output
Raw formation energy = 437 meV/atom
Total energy = -47.151 eV/cell
DOS at the Fermi energy = 3.5 states/eV/f.u.

a b c (Å): 6.7571 6.7571 6.7571
angles (deg): 90.00 90.00 90.00
Space group F-43m (No. 216)
Symmetry-distinct sites (fractional):
K 0.0000 0.0000 0.0000 [4 per cell]
Te 0.0000 0.0000 0.5000 [4 per cell]
Ir 0.2500 0.2500 0.7500 [4 per cell]

Material: K2TeIr
Method: DFT, PBE
State: optimized geometry

Output
Raw formation energy = 492 meV/atom
Total energy = -36.683 eV/cell
DOS at the Fermi energy = 4.3 states/eV/f.u.

a b c (Å): 3.2798 3.2798 33.3700
angles (deg): 90.00 90.00 120.00
Space group R-3m (No. 166, hexagonal axes)
Symmetry-distinct sites (fractional):
K 0.0000 0.0000 0.2428 [6 per cell]
Te 0.0000 0.0000 0.0000 [3 per cell]
Ir 0.0000 0.0000 0.5000 [3 per cell]